1.
Ca2MnPdN | Alexandria | PBE-GGA | relaxed; uncorrected formation energy = -53.4 kJ per mole of atoms; space-group type = P4/mmm
1.0
5.001 0.000 0.000
0.000 5.001 0.000
0.000 0.000 3.760
Pd Ca N Mn
1 2 1 1
Cartesian
2.501 2.501 1.880
2.501 0.000 0.000
0.000 2.501 0.000
0.000 0.000 0.000
0.000 0.000 1.880


2.
Ca2PrMnN4 | Alexandria | PBE-GGA | relaxed; uncorrected formation energy = -73.7 kJ per mole of atoms; space-group type = Cmcm
1.0
-0.081 -1.098 -3.233
-5.339 -1.382 2.407
-4.262 10.460 -3.447
Ca Pr N Mn
4 2 8 2
Cartesian
-6.291 4.225 -1.278
-1.608 -0.623 -1.552
-8.074 8.602 -2.720
-3.391 3.754 -2.995
-4.204 7.483 -2.437
-5.478 0.496 -1.836
0.000 0.000 0.000
-7.522 6.292 -1.949
-3.542 0.388 -0.043
-2.131 5.230 -1.723
-5.189 5.257 -3.460
-4.493 2.722 -0.812
-6.140 7.591 -4.230
-2.160 1.687 -2.323
-6.710 6.049 -3.691
-2.973 1.930 -0.581


3.
CaPr2MnN4 | Alexandria | PBE-GGA | relaxed; uncorrected formation energy = -82.4 kJ per mole of atoms; space-group type = Cmcm
1.0
-1.365 -2.295 -2.335
6.173 0.869 -1.769
3.338 -9.227 7.117
N Pr Ca Mn
8 4 2 2
Cartesian
6.732 -7.135 3.076
4.135 -3.544 1.065
3.347 -1.365 -0.616
0.000 0.000 0.000
4.799 -9.289 3.629
1.669 -4.613 3.559
4.010 -7.109 1.948
1.414 -3.518 -0.063
2.275 -5.461 1.343
7.270 -9.061 4.655
0.875 -1.592 -1.642
5.871 -5.192 1.670
3.951 -6.994 4.563
4.194 -3.659 -1.550
5.387 -8.249 2.263
2.758 -2.404 0.750


4.
Ca4Pu3MnN8 | Alexandria | PBE-GGA | relaxed; uncorrected formation energy = -97.8 kJ per mole of atoms; space-group type = R-3m
1.0
-5.907 3.199 -1.235
-1.016 -4.001 -5.507
1.127 -2.856 6.103
Pu N Ca Mn
3 8 4 1
Cartesian
0.056 -3.428 0.298
-2.898 -1.829 -0.320
-3.462 -0.401 -3.371
-1.839 -0.365 -1.743
-4.564 -1.888 -1.951
-1.050 -4.867 1.711
-1.605 -3.462 -1.292
-3.957 -3.292 1.103
-4.191 -0.195 0.653
-4.746 1.209 -2.350
-1.232 -1.769 1.312
0.000 0.000 0.000
-2.954 1.600 -0.617
-2.390 0.172 2.434
0.563 -1.428 3.051
-0.508 -2.001 -2.754


5.
Ca3Pu2MnN6 | Alexandria | PBE-GGA | relaxed; uncorrected formation energy = -93.0 kJ per mole of atoms; space-group type = C2/m
1.0
5.906 -0.076 0.044
-3.018 5.077 0.044
-0.921 -1.595 5.596
N Pu Ca Mn
6 2 3 1
Cartesian
1.963 3.399 1.246
-0.063 3.381 4.435
0.004 0.007 4.437
2.960 1.635 4.435
-0.992 1.771 1.249
2.030 0.026 1.249
-0.033 3.354 0.044
2.921 1.647 0.044
0.984 1.703 2.842
-2.041 3.450 2.842
4.009 -0.044 2.842
0.000 0.000 0.000


6.
Ca3Pu3MnN8 | Alexandria | PBE-GGA | relaxed; uncorrected formation energy = -88.1 kJ per mole of atoms; space-group type = R-3m
1.0
-3.032 -2.640 -5.354
-2.021 -1.677 6.158
-1.304 6.278 -2.358
N Ca Pu Mn
8 3 3 1
Cartesian
-2.821 -0.173 -4.723
-2.465 3.022 -0.095
-3.536 2.134 3.169
-5.143 0.736 0.331
-4.173 1.786 -2.705
-2.184 0.175 1.150
-1.215 1.225 -1.885
-3.892 -1.060 -1.459
-2.527 -2.158 0.402
0.000 0.000 0.000
-1.011 -0.838 3.079
-2.168 1.819 -3.856
-3.179 0.981 -0.777
-1.663 2.301 1.900
-0.652 3.139 -1.179


7.
CaPuMnN4 | Alexandria | PBE-GGA | relaxed; uncorrected formation energy = -67.2 kJ per mole of atoms; space-group type = P2_1/m
1.0
5.624 0.000 0.116
0.000 5.264 0.000
-2.068 0.000 6.458
Mn Pu N Ca
2 2 8 2
Cartesian
2.929 1.316 4.578
0.628 3.948 1.996
0.176 1.316 3.648
3.380 3.948 2.926
-0.424 2.616 1.786
1.186 3.948 3.639
2.126 3.948 1.066
3.981 2.648 4.788
3.981 5.247 4.788
2.371 1.316 2.935
-0.424 0.016 1.786
1.430 1.316 5.508
2.032 3.948 6.023
1.525 1.316 0.551


8.
Ca2MnRhN | Alexandria | PBE-GGA | relaxed; uncorrected formation energy = -35.0 kJ per mole of atoms; space-group type = P4/mmm
1.0
4.947 0.000 0.000
0.000 4.947 0.000
0.000 0.000 3.732
Ca Rh N Mn
2 1 1 1
Cartesian
0.000 2.473 0.000
2.473 0.000 0.000
2.473 2.473 1.866
0.000 0.000 0.000
0.000 0.000 1.866


9.
CaMnS2N | Alexandria | PBE-GGA | relaxed; uncorrected formation energy = -65.1 kJ per mole of atoms; space-group type = P4/mmm; relative energy among the computed polymorphs = 0 meV per atom
1.0
4.811 0.000 0.000
0.000 4.811 0.000
0.000 0.000 3.568
Mn N S Ca
1 1 2 1
Cartesian
0.000 0.000 0.000
0.000 0.000 1.784
2.405 0.000 0.000
0.000 2.405 0.000
2.405 2.405 1.784


10.
CaMnS2N | Alexandria | PBE-GGA | relaxed; uncorrected formation energy = 74.3 kJ per mole of atoms; space-group type = P4/mmm; relative energy among the computed polymorphs = 1445 meV per atom
1.0
5.242 0.000 0.000
0.000 5.242 0.000
0.000 0.000 4.417
Ca S N Mn
1 2 1 1
Cartesian
0.000 0.000 0.000
0.000 2.621 0.000
2.621 0.000 0.000
0.000 0.000 2.208
2.621 2.621 2.208


11.
Ca2MnSbN | Alexandria | PBE-GGA | relaxed; uncorrected formation energy = -67.3 kJ per mole of atoms; space-group type = P4/mmm
1.0
5.000 0.000 0.000
0.000 5.000 0.000
0.000 0.000 4.111
Mn Sb N Ca
1 1 1 2
Cartesian
0.000 0.000 2.056
2.500 2.500 2.056
0.000 0.000 0.000
0.000 2.500 0.000
2.500 0.000 0.000


12.
CaMnSe2N | Alexandria | PBE-GGA | relaxed; uncorrected formation energy = -58.4 kJ per mole of atoms; space-group type = P4/mmm; relative energy among the computed polymorphs = 0 meV per atom
1.0
-3.402 3.643 1.187
-3.650 -2.598 -2.486
-0.811 -1.737 3.006
Mn N Se Ca
1 1 2 1
Cartesian
0.000 0.000 0.000
-0.406 -0.868 1.503
-1.701 1.822 0.593
-1.825 -1.299 -1.243
-3.932 -0.346 0.853


Among the records above, which one has the lowest uncorrected formation energy?
Ca4Pu3MnN8


What is the uncorrected formation energy in the first record?
-53.4 kJ per mole of atoms


The lowest uncorrected formation energy belongs to which entry?
Ca4Pu3MnN8